[1]
GGA-PBE LaHfAs3, optimized geometry; space-group type = Pm-3m, No. 221; ΔE to the lowest computed polymorph = 0 meV/atom; energy relative to the elements = -0.6120 eV/atom; N(E_F) = 7.6 states/eV per cell
1.0
-4.068 -1.166 -2.880
-0.762 -4.226 2.786
-3.012 2.643 3.185
As Hf La
3 1 1
Direct
0.500 0.000 0.000
0.000 0.000 0.500
0.000 0.500 0.000
0.000 0.000 0.000
0.500 0.500 0.500

[2]
GGA-PBE La2HfAs, optimized geometry; space-group type = I-42d, No. 122; energy relative to the elements = -0.1513 eV/atom; N(E_F) = 11.3 states/eV per cell
1.0
8.984 0.000 0.000
0.000 8.984 0.000
4.492 4.492 2.834
As La Hf
2 4 2
Direct
0.250 0.750 0.500
0.500 0.500 0.000
0.375 0.428 0.750
0.178 0.625 0.250
0.572 0.125 0.250
0.875 0.822 0.750
0.000 0.000 0.000
0.750 0.250 0.500

| no. | total energy (eV/atom) | size of the total moment (Bohr magnetons per cell) |
| --- | --- | --- |
| 1 | -6.378 | 0.00 |
| 2 | -6.266 | 0.00 |